A relaxed structure of RbLi, computed with PBE.

Lattice parameters (Å, degrees): 7.8567 7.8567 7.8567 90.00 90.00 90.00
Space group Fm-3m (No. 225)
Symmetry-distinct sites (fractional):
Rb  0.0000  0.0000  0.0000
Li  0.0000  0.0000  0.5000

ΔH_f (0 K) ... 333 meV per atom
Density ... 1.27 g cm⁻³
DFT total energy ... -1.108 eV per atom